Compound: Er2GaRh3
Source: Alexandria
Functional: GGA-PBE
Structure: optimized geometry

Values from the calculation:
D(E_F)	3.471	states/eV per cell
relative energy among the computed polymorphs	32.45	kJ per mole of atoms
energy relative to the elements	-326.3	kJ/mol of formula units
V	19.2	Å³ per atom

abc: 4.458 5.316 5.963
angles: 116.47 111.95 90.00
Fractional coordinates of all 6 atoms:
Er  0.685  0.185  0.371
Ga  0.000  0.500  0.000
Rh  0.000  0.000  0.000
Er  0.315  0.815  0.629
Rh  0.637  0.637  0.273
Rh  0.363  0.363  0.727